[1]
Li12Sb3Pt5: relaxed, PBE.

Summary:
* formation energy (no corrections): 0.076 eV/atom
* space group: Ia-3d

Cell lengths 13.049, 13.049, 13.049 Å; angles 109.47, 109.47, 109.47 degrees
Positions (direct):
Li 0.030 0.209 0.092
Li 0.030 0.322 0.938
Li 0.062 0.592 0.383
Li 0.062 0.970 0.678
Li 0.092 0.030 0.209
Li 0.092 0.562 0.883
Li 0.117 0.709 0.678
Li 0.117 0.908 0.438
Li 0.178 0.209 0.617
Li 0.178 0.470 0.562
Li 0.209 0.092 0.030
Li 0.209 0.617 0.178
Li 0.291 0.322 0.883
Li 0.291 0.470 0.408
Li 0.322 0.883 0.291
Li 0.322 0.938 0.030
Li 0.383 0.062 0.592
Li 0.383 0.822 0.791
Li 0.408 0.291 0.470
Li 0.408 0.617 0.938
Li 0.438 0.117 0.908
Li 0.438 0.822 0.530
Li 0.470 0.408 0.291
Li 0.470 0.562 0.178
Li 0.530 0.438 0.822
Li 0.530 0.592 0.709
Li 0.562 0.178 0.470
Li 0.562 0.883 0.092
Li 0.592 0.383 0.062
Li 0.592 0.709 0.530
Li 0.617 0.178 0.209
Li 0.617 0.938 0.408
Li 0.678 0.062 0.970
Li 0.678 0.117 0.709
Li 0.709 0.530 0.592
Li 0.709 0.678 0.117
Li 0.791 0.383 0.822
Li 0.791 0.908 0.970
Li 0.822 0.530 0.438
Li 0.822 0.791 0.383
Li 0.883 0.092 0.562
Li 0.883 0.291 0.322
Li 0.908 0.438 0.117
Li 0.908 0.970 0.791
Li 0.938 0.030 0.322
Li 0.938 0.408 0.617
Li 0.970 0.678 0.062
Li 0.970 0.791 0.908
Sb 0.125 0.250 0.375
Sb 0.125 0.375 0.750
Sb 0.250 0.375 0.125
Sb 0.250 0.875 0.625
Sb 0.375 0.125 0.250
Sb 0.375 0.750 0.125
Sb 0.625 0.250 0.875
Sb 0.625 0.875 0.750
Sb 0.750 0.125 0.375
Sb 0.750 0.625 0.875
Sb 0.875 0.625 0.250
Sb 0.875 0.750 0.625
Pt 0.000 0.000 0.000
Pt 0.000 0.000 0.500
Pt 0.000 0.500 0.000
Pt 0.000 0.500 0.500
Pt 0.125 0.750 0.875
Pt 0.125 0.875 0.250
Pt 0.250 0.125 0.875
Pt 0.250 0.625 0.375
Pt 0.375 0.250 0.625
Pt 0.375 0.625 0.750
Pt 0.500 0.000 0.000
Pt 0.500 0.000 0.500
Pt 0.500 0.500 0.000
Pt 0.500 0.500 0.500
Pt 0.625 0.375 0.250
Pt 0.625 0.750 0.375
Pt 0.750 0.375 0.625
Pt 0.750 0.875 0.125
Pt 0.875 0.125 0.750
Pt 0.875 0.250 0.125

=====

[2]
DyScGeAu: relaxed, PBE.

Summary:
* DFT formation energy: -0.725 eV/atom
* space group: F-43m

Cell lengths 4.944, 4.944, 4.944 Å; angles 60.00, 60.00, 60.00 degrees
Positions (direct):
Dy 0.000 0.000 0.000
Sc 0.500 0.500 0.500
Ge 0.750 0.750 0.750
Au 0.250 0.250 0.250

=====

[3]
TbNdSm3Y: relaxed, PBE.

Summary:
* DFT formation energy: 0.114 eV/atom
* space group: Cmcm

Cell lengths 6.523, 6.523, 11.816 Å; angles 90.00, 90.00, 126.70 degrees
Positions (direct):
Tb 0.000 0.000 0.000
Tb 0.000 0.000 0.500
Nd 0.473 0.527 0.750
Nd 0.527 0.473 0.250
Sm 0.133 0.867 0.250
Sm 0.327 0.673 0.032
Sm 0.327 0.673 0.468
Sm 0.673 0.327 0.532
Sm 0.673 0.327 0.968
Sm 0.867 0.133 0.750
Y 0.172 0.828 0.750
Y 0.828 0.172 0.250

=====

[4]
AsIrBr2: relaxed, PBE.

Summary:
* formation energy (no corrections): 0.256 eV/atom
* space group: Imm2
* ΔE to the lowest computed polymorph: 561 meV/atom

Cell lengths 6.822, 6.822, 6.822 Å; angles 148.43, 134.44, 56.48 degrees
Positions (direct):
As 0.000 0.000 0.000
Ir 0.882 0.382 0.500
Br 0.426 0.926 0.500
Br 0.724 0.724 0.000

=====

Number 1: total moment 0.000 μB/atom, energy -256.05 eV for the cell shown. Number 2: total moment 0.154 μB/atom, energy -21.73 eV for the cell shown. Number 3: total moment 0.000 μB/atom, energy -58.67 eV for the cell shown. Number 4: total moment 0.001 μB/atom, energy -15.83 eV for the cell shown.